Record 1
# Sm3Mg3Al2Ir

Sm3Mg3Al2Ir after structural relaxation (PBE-GGA, OQMD via LeMat-Bulk).

Geometry as extended XYZ:
```
9
Lattice="7.4243 0.0000 0.0000 -3.7122 6.4296 0.0000 0.0000 0.0000 4.4957" Properties=species:S:1:pos:R:3 pbc="T T T"
Sm -2.2333 3.8682 0.0000
Sm 1.4788 2.5614 0.0000
Sm 4.4667 0.0000 0.0000
Mg -0.8639 1.4964 2.2478
Mg 1.7279 0.0000 2.2478
Mg 2.8482 4.9332 2.2478
Al 0.0000 4.2864 2.2478
Al 3.7122 2.1432 2.2478
Ir 0.0000 0.0000 0.0000
```

## Properties
- volume (Å³/cell) = 214.6
- VASP energy (eV per atom) = -4.290

---

Record 2
# Rb2Fe3Os2

Rb2Fe3Os2 after structural relaxation (PBE-GGA, OQMD via LeMat-Bulk).

Geometry as extended XYZ:
```
7
Lattice="2.0501 1.1836 12.3075 -2.0501 1.1836 12.3075 0.0000 -2.3672 12.3075" Properties=species:S:1:pos:R:3 pbc="T T T"
Rb 0.0000 0.0000 0.0000
Rb 0.0000 0.0000 16.4833
Fe 0.0000 0.0000 6.8801
Fe 0.0000 0.0000 20.3866
Fe 0.0000 0.0000 33.8375
Os 0.0000 0.0000 9.2419
Os 0.0000 0.0000 31.5105
```

## Properties
- volume (Å³/cell) = 179.2
- VASP energy (eV per atom) = -6.404

---

Record 3
# TbGaO3

TbGaO3 after structural relaxation (PBE-GGA, OQMD via LeMat-Bulk).

Geometry as extended XYZ:
```
10
Lattice="2.6932 1.5549 4.8243 -2.6932 1.5549 4.8243 0.0000 -3.1098 4.8243" Properties=species:S:1:pos:R:3 pbc="T T T"
Tb 0.0000 0.0000 1.9242
Tb 0.0000 0.0000 12.5486
Ga 0.0000 0.0000 5.0459
Ga 0.0000 0.0000 9.4269
O -1.7439 -0.2647 5.9525
O -0.6427 -1.6426 8.5204
O 1.1012 -1.3779 5.9525
O -1.1012 1.3779 8.5204
O 0.6427 1.6426 5.9525
O 1.7439 0.2647 8.5204
```

## Properties
- volume (Å³/cell) = 121.2
- VASP energy (eV per atom) = -7.098

---

Record 4
# LuAlInTe3

LuAlInTe3 after structural relaxation (PBE-GGA, OQMD via LeMat-Bulk).

Geometry as extended XYZ:
```
12
Lattice="2.1747 -7.5572 0.0000 2.1747 7.5572 0.0000 0.0000 0.0000 11.3058" Properties=species:S:1:pos:R:3 pbc="T T T"
Lu 0.0000 0.0000 0.0000
Lu 0.0000 0.0000 5.6529
Al 2.1747 0.5628 8.4793
Al 2.1747 -0.5628 2.8264
In 2.1747 3.9965 2.8264
In 2.1747 -3.9965 8.4793
Te 2.1747 6.3777 8.4793
Te 2.1747 2.0617 6.2440
Te 2.1747 2.0617 10.7147
Te 2.1747 -2.0617 0.5911
Te 2.1747 -2.0617 5.0618
Te 2.1747 -6.3777 2.8264
```

## Properties
- volume (Å³/cell) = 371.6
- VASP energy (eV per atom) = -4.011
- offset from the most stable computed form (eV per atom) = 0.000

---

Record 5
# ZnH2C2O4

ZnH2C2O4 after structural relaxation (PBE-GGA, OQMD via LeMat-Bulk).

Geometry as extended XYZ:
```
108
Lattice="7.6102 0.0000 0.0000 0.0000 12.9753 0.0000 -2.3568 0.0000 11.8396" Properties=species:S:1:pos:R:3 pbc="T T T"
Zn -0.9006 0.0000 4.7195
Zn 0.7575 8.2983 0.3390
Zn 1.7783 3.1914 0.8724
Zn 1.1845 5.3193 5.9437
Zn 1.6485 0.2840 6.8661
Zn 3.2528 10.0767 0.9713
Zn 2.0005 3.5891 10.8682
Zn 3.6048 6.7716 4.9734
Zn 4.0688 11.8069 5.8959
Zn 3.4751 9.6790 10.9671
Zn 4.4958 1.8106 11.5006
Zn 6.1539 6.4876 7.1200
H -2.2268 12.2222 11.5360
H -1.5582 11.4418 8.4886
H -0.3268 2.9591 4.7391
H -0.4545 4.7757 9.4812
H 1.2230 7.6466 3.3982
H 0.0686 8.2285 9.2922
H 1.3867 1.0077 2.9707
H 0.1708 1.2337 9.2633
H 1.8846 10.2191 4.1765
H 1.5507 9.2815 6.6422
H 1.1760 6.5752 11.3733
H 3.1246 4.8492 2.5226
H 2.1287 11.3368 9.3170
H 4.0773 0.0875 0.4662
H 3.7026 2.7939 5.1973
H 3.3687 3.7315 7.6630
H 5.0825 7.7213 2.5763
H 3.8666 7.4953 8.8688
H 5.1848 1.7408 2.5473
H 4.0303 1.1589 8.4413
H 5.7078 11.2634 2.3584
H 5.5801 9.4467 7.1004
H 6.8115 4.9541 3.3509
H 7.4801 5.7346 0.3036
C -0.9630 11.9567 7.7098
C 0.6679 11.3574 0.1084
C 0.4857 0.9779 2.3299
C 0.4404 2.5590 5.4206
C -0.4392 1.5894 10.1060
C 0.4220 4.9013 8.8183
C 1.3328 11.0662 4.6066
C 1.0241 8.3120 6.5492
C 2.0873 8.1955 2.9883
C 0.7223 8.6784 10.0573
C 2.1713 4.7925 3.0743
C 2.7836 5.9780 0.0860
C 2.4697 12.4656 11.7536
C 3.0820 11.2801 8.7653
C 4.5311 2.1908 1.7822
C 3.1660 1.7079 8.8512
C 4.2292 1.8244 5.2904
C 3.9206 4.5786 7.2329
C 4.8313 11.3889 3.0213
C 5.6925 8.0770 1.7336
C 4.8129 9.0466 6.4190
C 4.7676 7.4655 9.5096
C 4.5854 4.8698 11.7311
C 6.2164 5.4691 4.1297
O -1.7717 6.9570 9.1069
O 0.0120 10.2492 0.1133
O -0.7886 5.7376 5.2245
O -1.6339 1.2022 10.1738
O 0.6138 1.4946 1.1659
O 0.1118 11.1928 4.3485
O -0.1331 8.2195 7.0364
O 0.4469 1.2798 5.5704
O 0.2023 5.4637 7.6946
O 1.2277 4.0697 2.6544
O 0.2390 12.2294 7.9682
O 1.7692 6.5082 0.5964
O 1.8351 11.5287 0.5270
O 1.8549 8.9481 1.9808
O 0.1606 2.3692 10.9338
O 0.1576 9.0167 11.1604
O 1.2519 3.2990 6.0136
O 1.6540 7.3813 5.9475
O 2.1082 5.4975 4.1308
O 3.0331 4.7268 0.1907
O 2.0183 11.8637 5.3343
O 1.5633 4.5213 9.1546
O 2.0249 1.6017 8.3352
O 3.3132 2.3313 2.0517
O 1.9402 8.8189 9.7879
O 3.2284 8.0893 3.5044
O 3.6901 11.0090 2.6849
O 3.2350 5.3761 6.5052
O 2.2202 11.2144 11.6489
O 3.1451 11.9851 7.7088
O 3.5993 0.8937 5.8920
O 4.0014 9.7866 5.8260
O 5.0957 2.5291 0.6792
O 5.0928 8.8568 0.9058
O 3.3984 2.4605 9.8587
O 3.4182 5.0411 11.3126
O 3.4842 0.0205 11.2432
O 5.0143 5.7418 3.8714
O 4.0256 10.5574 9.1851
O 5.0511 11.9513 4.1450
O 4.8065 7.7675 6.2691
O 5.3865 1.7319 4.8032
O 5.1415 4.7052 7.4911
O 4.6395 7.9823 10.6736
O 6.8872 7.6898 1.6657
O 6.0419 12.2252 6.6150
O 7.0251 0.4694 2.7327
O 5.2413 3.7616 11.7263
```

## Properties
- volume (Å³/cell) = 1169.1
- VASP energy (eV per atom) = -6.131

---

Record 6
# MgCu2SnTe4

MgCu2SnTe4 after structural relaxation (PBE-GGA, OQMD via LeMat-Bulk).

Geometry as extended XYZ:
```
8
Lattice="-3.1188 3.1188 6.2387 3.1188 -3.1188 6.2387 3.1188 3.1188 -6.2387" Properties=species:S:1:pos:R:3 pbc="T T T"
Mg 0.0000 0.0000 0.0000
Cu 0.0000 0.0000 6.2387
Cu 0.0000 3.1188 3.1194
Sn 3.1188 0.0000 3.1194
Te 4.4713 1.5473 -1.5334
Te 1.5473 1.7662 1.5334
Te -1.3526 1.5714 4.7053
Te 1.5714 1.3526 7.7721
```

## Properties
- volume (Å³/cell) = 242.7
- VASP energy (eV per atom) = -3.507
- offset from the most stable computed form (eV per atom) = 0.002

---

Record 7
# GaAg2W

GaAg2W after structural relaxation (PBE-GGA, OQMD via LeMat-Bulk).

Geometry as extended XYZ:
```
4
Lattice="0.0000 3.2242 3.2242 3.2242 0.0000 3.2242 3.2242 3.2242 0.0000" Properties=species:S:1:pos:R:3 pbc="T T T"
Ga 0.0000 0.0000 0.0000
Ag 3.2242 3.2242 3.2242
Ag 4.8363 4.8363 4.8363
W 1.6121 1.6121 1.6121
```

## Properties
- volume (Å³/cell) = 67.0
- VASP energy (eV per atom) = -4.790

---

Record 8
# NaSiAgTeSe2

NaSiAgTeSe2 after structural relaxation (PBE-GGA, OQMD via LeMat-Bulk).

Geometry as extended XYZ:
```
12
Lattice="1.7578 -7.4697 0.0000 1.7578 7.4697 0.0000 0.0000 0.0000 10.9713" Properties=species:S:1:pos:R:3 pbc="T T T"
Na 1.7578 4.1501 8.2284
Na 1.7578 -4.1501 2.7428
Si 1.7578 0.0000 0.0000
Si 1.7578 0.0000 5.4856
Ag 1.7578 5.7803 2.7428
Ag 1.7578 -5.7803 8.2284
Te 1.7578 0.7401 2.7428
Te 1.7578 -0.7401 8.2284
Se 1.7578 5.6517 0.2245
Se 1.7578 5.6517 5.2611
Se 1.7578 -5.6517 5.7101
Se 1.7578 -5.6517 10.7468
```

## Properties
- volume (Å³/cell) = 288.1
- VASP energy (eV per atom) = -3.541

---

Repeat the first record exactly.
# Sm3Mg3Al2Ir

Sm3Mg3Al2Ir after structural relaxation (PBE-GGA, OQMD via LeMat-Bulk).

Geometry as extended XYZ:
```
9
Lattice="7.4243 0.0000 0.0000 -3.7122 6.4296 0.0000 0.0000 0.0000 4.4957" Properties=species:S:1:pos:R:3 pbc="T T T"
Sm -2.2333 3.8682 0.0000
Sm 1.4788 2.5614 0.0000
Sm 4.4667 0.0000 0.0000
Mg -0.8639 1.4964 2.2478
Mg 1.7279 0.0000 2.2478
Mg 2.8482 4.9332 2.2478
Al 0.0000 4.2864 2.2478
Al 3.7122 2.1432 2.2478
Ir 0.0000 0.0000 0.0000
```

## Properties
- volume (Å³/cell) = 214.6
- VASP energy (eV per atom) = -4.290

---

Which value of VASP energy does entry 2 give? -6.404 eV per atom